Record 1
{
  "formula": "PAu3",
  "functional": "PBE",
  "state": "relaxed",
  "mass_density_g_cm3": 13.66,
  "energy_ev_per_atom": -3.634,
  "e_above_lowest_polymorph_kj_per_mol_fu": 58,
  "volume_a3_per_cell": 151.2,
  "ef_kj_per_mol_atoms": 17,
  "lattice_angstrom": [[2.963, 0.000, 0.000], [0.000, 6.108, 0.000], [0.000, 0.000, 8.356]],
  "species": ["Au", "Au", "Au", "Au", "Au", "Au", "P", "P"],
  "fractional_positions": [[0.000, 0.181, 0.690], [0.000, 0.751, 0.500], [0.500, 0.819, 0.810], [0.500, 0.249, 0.000], [0.500, 0.819, 0.190], [0.000, 0.181, 0.310], [0.000, 0.601, 0.000], [0.500, 0.399, 0.500]]
}

***

Record 2
{
  "formula": "PmSm2Te5",
  "functional": "PBE",
  "state": "relaxed",
  "mass_density_g_cm3": 7.35,
  "energy_ev_per_atom": -4.965,
  "formation_energy_uncorrected_kj_per_mol_atoms": -118.52,
  "volume_a3_per_cell": 489.7,
  "lattice_angstrom": [[8.246, 0.000, 0.000], [0.000, 8.246, 0.000], [-4.123, -4.123, 7.203]],
  "species": ["Te", "Te", "Te", "Te", "Te", "Te", "Te", "Te", "Te", "Te", "Pm", "Pm", "Sm", "Sm", "Sm", "Sm"],
  "fractional_positions": [[0.807, 0.992, 0.299], [0.508, 0.693, 0.701], [0.693, 0.193, 0.701], [0.193, 0.008, 0.701], [0.992, 0.492, 0.299], [0.500, 0.500, 0.000], [0.008, 0.508, 0.701], [0.492, 0.307, 0.299], [0.000, 0.000, 0.000], [0.307, 0.807, 0.299], [0.250, 0.250, 0.500], [0.750, 0.750, 0.500], [0.849, 0.651, 0.000], [0.349, 0.849, 0.000], [0.651, 0.151, 0.000], [0.151, 0.349, 0.000]]
}

***

Record 3
{
  "formula": "TlHgB",
  "functional": "PBE",
  "state": "relaxed",
  "mass_density_g_cm3": 8.96,
  "energy_ev_per_atom": -2.603,
  "volume_a3_per_cell": 154.1,
  "ef_kj_per_mol_atoms": 49,
  "lattice_angstrom": [[8.356, -0.140, 0.072], [-0.491, 3.997, -0.080], [-5.083, 1.401, 4.554]],
  "species": ["Hg", "Hg", "B", "B", "Tl", "Tl"],
  "fractional_positions": [[0.012, 0.492, 0.932], [0.012, 0.493, 0.432], [0.381, 0.490, 0.298], [0.643, 0.494, 0.567], [0.538, 0.115, 0.179], [0.487, 0.869, 0.685]]
}

***

Record 4
{
  "formula": "CaLaCl",
  "functional": "PBE",
  "state": "relaxed",
  "mass_density_g_cm3": 3.88,
  "energy_ev_per_atom": -3.873,
  "formation_energy_uncorrected_kj_per_mol_atoms": -91.46,
  "e_above_lowest_polymorph_kj_per_mol_fu": 18,
  "volume_a3_per_cell": 183.5,
  "lattice_angstrom": [[-2.230, 0.720, 2.919], [3.234, -1.814, 0.518], [7.059, 13.196, 2.138]],
  "species": ["La", "La", "Cl", "Cl", "Ca", "Ca"],
  "fractional_positions": [[0.611, 0.222, 0.716], [0.611, 0.222, 0.284], [0.278, 0.555, 0.872], [0.278, 0.555, 0.128], [0.278, 0.556, 0.500], [0.611, 0.222, 0.000]]
}